# Co2P2O7, optimized geometry, DFT PBE+U
# raw total energy: -6.90 eV/atom
data_Co2P2O7
_cell_length_a 7.001
_cell_length_b 8.332
_cell_length_c 8.971
_cell_angle_alpha 90.00
_cell_angle_beta 113.67
_cell_angle_gamma 90.00
_space_group_name_H-M_alt 'P 1 21/c 1'
_space_group_IT_number 14
_space_group_name_Hall '-P 2ybc'
loop_
_atom_site_label
_atom_site_fract_x
_atom_site_fract_y
_atom_site_fract_z
Co1 0.200 0.063 0.321
Co2 0.266 0.071 0.892
P1 0.034 0.724 0.967
P2 0.441 0.732 0.260
O1 0.017 0.089 0.658
O2 0.058 0.612 0.399
O3 0.123 0.234 0.453
O4 0.251 0.667 0.101
O5 0.380 0.244 0.297
O6 0.388 0.610 0.815
O7 0.481 0.595 0.383